First-principles (GGA+U) data for an optimized crystal structure of MnSiNi2O6, as listed in the Alexandria database.

## Properties
space-group type	R3 (146)
final energy	-6.344	eV per atom

Cell: 4.9455 4.9452 5.2416 Å, 61.85 61.85 60.00°
Fractional positions:
Mn 0.8171 0.8171 0.5487
Si 0.3169 0.3170 0.0492
Ni 0.5246 0.5246 0.4262
Ni 0.0202 0.0203 0.9392
O 0.5796 0.2084 0.2475
O 0.2085 0.9645 0.2473
O 0.9645 0.5796 0.2475
O 0.4426 0.6844 0.7699
O 0.6845 0.1031 0.7699
O 0.1030 0.4427 0.7699